Here is Ba2BeCl after structural relaxation from Alexandria via LeMat-Bulk. Energies are from PBE.

As for the energy above the most stable polymorph in this dataset: 0.1977 eV/atom. The calculation puts the energy relative to the elements, uncorrected at -36.1 kJ per mole of atoms.

The space group is Fm-3m (No. 225) and the conventional cell measures 8.0899, 8.0899 and 8.0899 Å, with angles of 90.00, 90.00 and 90.00 degrees. The asymmetric unit holds Ba at (0.2500, 0.2500, 0.2500), Be at (0.0000, 0.0000, 0.0000) and Cl at (0.0000, 0.0000, 0.5000).

Here is K2AlHg after structural relaxation from Alexandria via LeMat-Bulk. Energies are from PBE.

As for the energy above the most stable polymorph in this dataset: 0.1452 eV/atom. The value obtained for the formation energy is 0.15 eV per atom.

The space group is I-4m2 (No. 119) and the conventional cell measures 5.6560, 5.6560 and 7.8910 Å, with angles of 90.00, 90.00 and 90.00 degrees. The asymmetric unit holds K at (0.0000, 0.0000, 0.0000), K at (0.0000, 0.5000, 0.2500), Al at (0.0000, 0.0000, 0.5000) and Hg at (0.0000, 0.5000, 0.7500).

Here is AcCdPd4 after structural relaxation from Alexandria via LeMat-Bulk. Energies are from PBE.

The value obtained for the formation energy is -0.62 eV per atom.

The space group is F-43m (No. 216) and the conventional cell measures 7.8093, 7.8093 and 7.8093 Å, with angles of 90.00, 90.00 and 90.00 degrees. The asymmetric unit holds Ac at (0.0000, 0.0000, 0.0000), Cd at (0.2500, 0.2500, 0.7500) and Pd at (0.1242, 0.1242, 0.3758).

Here is Li5US5 after structural relaxation from Alexandria via LeMat-Bulk. Energies are from PBE.

The calculation puts the energy relative to the elements, uncorrected at -127.8 kJ per mole of atoms.

The space group is C2/m (No. 12) and the conventional cell measures 12.1347, 5.2597 and 7.3680 Å, with angles of 90.00, 109.74 and 90.00 degrees. The asymmetric unit holds Li at (0.0000, 0.0000, 0.0000), Li at (0.1902, 0.5000, 0.3674), Li at (0.1937, 0.5000, 0.8218), U at (0.0000, 0.0000, 0.5000), S at (0.0000, 0.5000, 0.5000), S at (0.1500, 0.0000, 0.3188) and S at (0.1678, 0.0000, 0.8283).

Here is AcPr2Tm6 after structural relaxation from Alexandria via LeMat-Bulk. Energies are from PBE.

The value obtained for the formation energy is 0.18 eV per atom.

The space group is C2/m (No. 12) and the conventional cell measures 11.1571, 6.7630 and 8.8168 Å, with angles of 90.00, 110.01 and 90.00 degrees. The asymmetric unit holds Ac at (0.0000, 0.0000, 0.0000), Pr at (0.2470, 0.0000, 0.8021), Tm at (0.0987, 0.2392, 0.4025) and Tm at (0.1747, 0.5000, 0.7569).

Here is TbSmSc6 after structural relaxation from Alexandria via LeMat-Bulk. Energies are from PBE.

The value obtained for the formation energy is 0.02 eV per atom.

The space group is Amm2 (No. 38) and the conventional cell measures 5.3248, 6.7977 and 11.7782 Å, with angles of 90.00, 90.00 and 90.00 degrees. The asymmetric unit holds Tb at (0.0000, 0.0000, 0.0000), Sm at (0.5000, 0.0000, 0.6671), Sc at (0.0000, 0.0000, 0.4963), Sc at (0.0000, 0.2429, 0.2525), Sc at (0.5000, 0.0000, 0.1704) and Sc at (0.5000, 0.2436, 0.4147).

Here is SbOsRu2 after structural relaxation from Alexandria via LeMat-Bulk. Energies are from PBE.

The calculation puts the energy relative to the elements, uncorrected at 48.2 kJ per mole of atoms.

The space group is Pmmm (No. 47) and the conventional cell measures 2.9709, 4.5679 and 4.6393 Å, with angles of 90.00, 90.00 and 90.00 degrees. The asymmetric unit holds Sb at (0.0000, 0.0000, 0.0000), Os at (0.5000, 0.0000, 0.5000), Ru at (0.0000, 0.5000, 0.5000) and Ru at (0.5000, 0.5000, 0.0000).

Here is ZnSbAs4 after structural relaxation from Alexandria via LeMat-Bulk. Energies are from PBE.

The calculation puts the energy relative to the elements, uncorrected at 44.3 kJ per mole of atoms.

The space group is F-43m (No. 216) and the conventional cell measures 8.0226, 8.0226 and 8.0226 Å, with angles of 90.00, 90.00 and 90.00 degrees. The asymmetric unit holds Zn at (0.0000, 0.0000, 0.0000), Sb at (0.2500, 0.2500, 0.2500) and As at (0.1293, 0.1293, 0.6293).

Here is Pr2PaZn after structural relaxation from Alexandria via LeMat-Bulk. Energies are from PBE.

As for the energy above the most stable polymorph in this dataset: 0.0000 eV/atom. The value obtained for the formation energy is 0.02 eV per atom.

The space group is P4/mmm (No. 123) and the conventional cell measures 3.5040, 3.5040 and 9.0027 Å, with angles of 90.00, 90.00 and 90.00 degrees. The asymmetric unit holds Pr at (0.0000, 0.0000, 0.2260), Pa at (0.5000, 0.5000, 0.5000) and Zn at (0.5000, 0.5000, 0.0000).

Here is ZrNiTe2 after structural relaxation from Alexandria via LeMat-Bulk. Energies are from PBE.

As for the energy above the most stable polymorph in this dataset: 0.5083 eV/atom. The calculation puts the energy relative to the elements, uncorrected at -20.9 kJ per mole of atoms.

The space group is P4/mmm (No. 123) and the conventional cell measures 3.5665, 3.5665 and 6.5143 Å, with angles of 90.00, 90.00 and 90.00 degrees. The asymmetric unit holds Zr at (0.0000, 0.0000, 0.0000), Ni at (0.0000, 0.0000, 0.5000) and Te at (0.5000, 0.5000, 0.2577).

Here is RbPr2AgI8 after structural relaxation from Alexandria via LeMat-Bulk. Energies are from PBE.

The calculation puts the energy relative to the elements, uncorrected at -113.8 kJ per mole of atoms.

The space group is P-1 (No. 2) and the conventional cell measures 7.7443, 7.9127 and 9.5895 Å, with angles of 90.10, 90.06 and 98.35 degrees. The asymmetric unit holds Rb at (0.0000, 0.0000, 0.0000), Pr at (0.5004, 0.4998, 0.2598), Ag at (0.0000, 0.0000, 0.5000), I at (0.2577, 0.1499, 0.7131), I at (0.2604, 0.1494, 0.2860), I at (0.2697, 0.6318, 0.4996) and I at (0.2843, 0.6251, 0.0004).

Here is ZnBrCl after structural relaxation from Alexandria via LeMat-Bulk. Energies are from PBE.

As for the energy above the most stable polymorph in this dataset: 0.5547 eV/atom. The calculation puts the energy relative to the elements, uncorrected at -44.2 kJ per mole of atoms.

The space group is F-43m (No. 216) and the conventional cell measures 6.5226, 6.5226 and 6.5226 Å, with angles of 90.00, 90.00 and 90.00 degrees. The asymmetric unit holds Zn at (0.0000, 0.0000, 0.0000), Br at (0.2500, 0.2500, 0.7500) and Cl at (0.2500, 0.2500, 0.2500).

Here is LaInSb2 after structural relaxation from Alexandria via LeMat-Bulk. Energies are from PBE.

The calculation puts the energy relative to the elements, uncorrected at -40.8 kJ per mole of atoms.

The space group is I-42d (No. 122) and the conventional cell measures 8.0260, 8.0260 and 8.2568 Å, with angles of 90.00, 90.00 and 90.00 degrees. The asymmetric unit holds La at (0.0000, 0.0000, 0.0000), In at (0.0000, 0.0000, 0.5000) and Sb at (0.2114, 0.7500, 0.6250).

Here is SrBe2SiRh after structural relaxation from Alexandria via LeMat-Bulk. Energies are from PBE.

The calculation puts the energy relative to the elements, uncorrected at 71.0 kJ per mole of atoms.

The space group is P4/mmm (No. 123) and the conventional cell measures 4.1904, 4.1904 and 5.8614 Å, with angles of 90.00, 90.00 and 90.00 degrees. The asymmetric unit holds Sr at (0.0000, 0.0000, 0.0000), Be at (0.0000, 0.5000, 0.5000), Si at (0.0000, 0.0000, 0.5000) and Rh at (0.5000, 0.5000, 0.0000).

Here is AcLa2Dy after structural relaxation from Alexandria via LeMat-Bulk. Energies are from PBE.

As for the energy above the most stable polymorph in this dataset: 0.0171 eV/atom. The value obtained for the formation energy is 0.04 eV per atom.

The space group is I4/mmm (No. 139) and the conventional cell measures 5.3051, 5.3051 and 10.6318 Å, with angles of 90.00, 90.00 and 90.00 degrees. The asymmetric unit holds Ac at (0.0000, 0.0000, 0.0000), La at (0.0000, 0.5000, 0.2500) and Dy at (0.0000, 0.0000, 0.5000).

Here is SrSn4Se6 after structural relaxation from Alexandria via LeMat-Bulk. Energies are from PBE.

The calculation puts the energy relative to the elements, uncorrected at -61.9 kJ per mole of atoms.

The space group is P1 (No. 1) and the conventional cell measures 6.2638, 6.3955 and 9.3183 Å, with angles of 73.58, 72.82 and 78.09 degrees. The asymmetric unit holds Sr at (0.0000, 0.0000, 0.0000), Sn at (0.3295, 0.7326, 0.3331), Sn at (0.4124, 0.2953, 0.6953), Sn at (0.8280, 0.6810, 0.7561), Sn at (0.9585, 0.3503, 0.3157), Se at (0.0561, 0.4956, 0.9875), Se at (0.2982, 0.7511, 0.6168), Se at (0.4812, 0.9662, 0.0695), Se at (0.4987, 0.3182, 0.3688), Se at (0.8553, 0.2754, 0.6958) and Se at (0.8989, 0.7780, 0.3521).

Here is Li2ZnInH after structural relaxation from Alexandria via LeMat-Bulk. Energies are from PBE.

As for the energy above the most stable polymorph in this dataset: 0.0601 eV/atom.

The space group is P4/mmm (No. 123) and the conventional cell measures 4.0291, 4.0291 and 4.5786 Å, with angles of 90.00, 90.00 and 90.00 degrees. The asymmetric unit holds Li at (0.0000, 0.5000, 0.0000), Zn at (0.0000, 0.0000, 0.5000), In at (0.5000, 0.5000, 0.5000) and H at (0.5000, 0.5000, 0.0000).

Here is Hf2PdN after structural relaxation from Alexandria via LeMat-Bulk. Energies are from PBE.

The calculation puts the energy relative to the elements, uncorrected at -80.3 kJ per mole of atoms.

The space group is I-42d (No. 122) and the conventional cell measures 6.1389, 6.1389 and 7.5157 Å, with angles of 90.00, 90.00 and 90.00 degrees. The asymmetric unit holds Hf at (0.1738, 0.7500, 0.1250), Pd at (0.0000, 0.0000, 0.5000) and N at (0.0000, 0.0000, 0.0000).

Here is Mn2Cr2RhS6 after structural relaxation from Alexandria via LeMat-Bulk. Energies are from PBE.

The calculation puts the energy relative to the elements, uncorrected at -50.6 kJ per mole of atoms.

The space group is C2/m (No. 12) and the conventional cell measures 6.0772, 10.6400 and 6.1110 Å, with angles of 90.00, 108.43 and 90.00 degrees. The asymmetric unit holds Mn at (0.0000, 0.1655, 0.0000), Cr at (0.0000, 0.3345, 0.5000), Rh at (0.0000, 0.0000, 0.5000), S at (0.2404, 0.1739, 0.7342) and S at (0.2501, 0.0000, 0.2659).

Here is BSbTe2Pb after structural relaxation from Alexandria via LeMat-Bulk. Energies are from PBE.

As for the energy above the most stable polymorph in this dataset: 1.0971 eV/atom. The calculation puts the energy relative to the elements, uncorrected at 156.8 kJ per mole of atoms.

The space group is P4/mmm (No. 123) and the conventional cell measures 5.8926, 5.8926 and 5.8303 Å, with angles of 90.00, 90.00 and 90.00 degrees. The asymmetric unit holds B at (0.0000, 0.0000, 0.0000), Sb at (0.5000, 0.5000, 0.0000), Te at (0.0000, 0.5000, 0.5000) and Pb at (0.5000, 0.5000, 0.5000).

Values for uncorrected energy, eV/cell, ordered as above
-43.657, -11.264, -118.090, -112.138, -77.678, -94.353, -31.905, -84.970, -20.235, -21.481, -39.938, -24.675, -70.408, -18.229, -36.836, -45.655, -11.648, -147.019, -150.950, -12.664